No. 1
## AlGaCuTe4 (GGA-PBE)

Data for a relaxed structure of AlGaCuTe4.

abc: 8.2367 8.2367 11.4434
angles: 90.00 90.00 90.00
Closest atoms and distances in Å follow each position.
Space group P4_122 (No. 91)
Inequivalent atoms, fractional coordinates:
Al1 0.2432 0.2432 0.3750 x4  4 Te 2.67-2.68
Ga1 0.0000 0.2839 0.0000 x4  6 Te 2.80-2.96
Cu1 0.2410 0.5000 0.7500 x4  6 Te 2.70-2.86
Te1 0.0260 0.2505 0.7553 x8  1 Al 2.67, 1 Cu 2.71, 2 Ga 2.82-2.96
Te2 0.2649 0.4960 0.9856 x8  1 Al 2.68, 2 Cu 2.70-2.86, 1 Ga 2.80

---

No. 2
## HfInCo2 (GGA-PBE)

Data for a relaxed structure of HfInCo2.

Computed properties:
M_tot   0.809 μB per formula unit

abc: 4.2807 4.2807 7.9242
angles: 90.00 90.00 120.00
Closest atoms and distances in Å follow each position.
Space group P6_3/mmc (No. 194)
Inequivalent atoms, fractional coordinates:
Hf1 0.3333 0.6667 0.2500 x2  8 Co 2.73-2.79
In1 0.0000 0.0000 0.0000 x2  6 Co 2.60
Co1 0.3333 0.6667 0.6023 x4  1 Co 2.34, 3 In 2.60

---

How do the records compare in E_tot? In the order shown, they have -95.9; -55.1 eV/cell.